Record 1
CeSn2Pd5, relaxed, DFT GGA-PBE; V = 19.72 Å³ per atom; DFT formation energy = -0.61 eV per atom; E_tot = -5.602 eV per atom; symmetry = No. 71
1.0
-3.781 1.361 -1.464
-5.065 -2.057 4.922
-3.368 3.385 5.596
Pd Ce Sn
5 1 2
Direct
0.387 0.371 0.856
0.613 0.144 0.629
0.000 0.500 0.500
0.387 0.856 0.371
0.613 0.629 0.144
0.000 0.000 0.000
0.214 0.286 0.286
0.786 0.714 0.714


Record 2
CeSn2Pd4, relaxed, DFT GGA-PBE; E above lowest polymorph = 0 meV per atom; V = 19.84 Å³ per atom; DFT formation energy = -0.61 eV per atom; E_tot = -5.570 eV per atom; symmetry = No. 136
1.0
4.356 0.000 0.000
0.000 7.986 0.000
0.000 0.000 7.986
Sn Ce Pd
4 2 8
Direct
0.500 0.714 0.714
0.000 0.214 0.786
0.500 0.286 0.286
0.000 0.786 0.214
0.500 0.000 0.000
0.000 0.500 0.500
0.000 0.647 0.902
0.000 0.902 0.647
0.500 0.598 0.147
0.500 0.853 0.402
0.000 0.098 0.353
0.500 0.147 0.598
0.500 0.402 0.853
0.000 0.353 0.098


Record 3
CeSn2Pd4, relaxed, DFT GGA-PBE; E above lowest polymorph = 44 meV per atom; V = 20.92 Å³ per atom; DFT formation energy = -0.57 eV per atom; E_tot = -5.525 eV per atom; symmetry = No. 166
1.0
-0.763 2.197 3.892
-0.108 -2.290 3.912
7.797 1.153 3.518
Pd Ce Sn
4 1 2
Direct
0.595 0.595 0.216
0.869 0.869 0.393
0.131 0.131 0.607
0.405 0.405 0.784
0.000 0.000 0.000
0.240 0.240 0.281
0.760 0.760 0.719


Record 4
Ce2Sn3Pd4, relaxed, DFT GGA-PBE; V = 21.50 Å³ per atom; DFT formation energy = -0.71 eV per atom; E_tot = -5.674 eV per atom; symmetry = No. 64
1.0
-5.509 -0.281 -3.055
3.533 -2.065 -6.182
1.945 -7.801 3.718
Pd Ce Sn
8 4 6
Direct
0.168 0.981 0.335
0.832 0.019 0.665
0.668 0.519 0.335
0.180 0.750 0.860
0.680 0.750 0.860
0.320 0.250 0.140
0.820 0.250 0.140
0.332 0.481 0.665
0.604 0.918 0.209
0.104 0.582 0.209
0.396 0.082 0.791
0.896 0.418 0.791
0.511 0.750 0.523
0.489 0.250 0.477
0.011 0.750 0.523
0.500 0.500 0.000
0.989 0.250 0.477
0.000 0.000 0.000


Record 5
Ce3Sn5Pd6, relaxed, DFT GGA-PBE; V = 21.77 Å³ per atom; DFT formation energy = -0.75 eV per atom; E_tot = -5.672 eV per atom; symmetry = No. 59
1.0
4.497 0.000 0.000
0.000 9.701 0.000
0.000 0.000 13.973
Pd Sn Ce
12 10 6
Direct
0.500 0.403 0.806
0.000 0.986 0.857
0.000 0.023 0.500
0.000 0.509 0.500
0.000 0.597 0.694
0.000 0.597 0.306
0.500 0.491 0.000
0.000 0.986 0.143
0.500 0.403 0.194
0.500 0.014 0.643
0.500 0.014 0.357
0.500 0.977 0.000
0.500 0.480 0.617
0.500 0.480 0.383
0.500 0.127 0.172
0.000 0.796 0.000
0.000 0.873 0.328
0.000 0.873 0.672
0.500 0.204 0.500
0.000 0.520 0.117
0.500 0.127 0.828
0.000 0.520 0.883
0.500 0.774 0.500
0.500 0.754 0.822
0.000 0.246 0.322
0.000 0.226 0.000
0.000 0.246 0.678
0.500 0.754 0.178


Record 6
Ce2Sn3Pd, relaxed, DFT GGA-PBE; E above lowest polymorph = 0 meV per atom; V = 25.47 Å³ per atom; DFT formation energy = -0.64 eV per atom; E_tot = -5.486 eV per atom; symmetry = No. 8
1.0
4.379 0.000 1.834
1.876 5.637 1.664
-0.022 0.110 6.198
Pd Sn Ce
1 3 2
Direct
0.172 0.389 0.267
0.157 0.782 0.904
0.872 0.598 0.658
0.813 0.234 0.140
0.441 0.808 0.310
0.545 0.188 0.721


Record 7
CeSn3Pd12, relaxed, DFT GGA-PBE; V = 16.84 Å³ per atom; DFT formation energy = -0.58 eV per atom; E_tot = -5.601 eV per atom; symmetry = No. 123
1.0
-3.391 -1.553 -1.641
1.848 -3.610 -0.401
-5.179 -4.293 14.763
Pd Sn Ce
12 3 1
Direct
0.000 0.500 0.377
0.500 0.500 0.747
0.500 0.000 0.128
0.000 0.500 0.623
0.500 0.500 0.000
0.500 0.000 0.377
0.500 0.500 0.500
0.500 0.000 0.872
0.000 0.500 0.872
0.000 0.500 0.128
0.500 0.000 0.623
0.500 0.500 0.253
0.000 0.000 0.254
0.000 0.000 0.500
0.000 0.000 0.746
0.000 0.000 0.000


Record 8
Ce2SnPd, relaxed, DFT GGA-PBE; V = 23.17 Å³ per atom; DFT formation energy = -0.58 eV per atom; E_tot = -5.842 eV per atom; symmetry = No. 123
1.0
-2.160 -3.304 -2.523
3.939 -1.790 -1.029
-0.238 -2.596 3.604
Sn Ce Pd
1 2 1
Direct
0.500 0.000 0.000
0.000 0.500 0.000
0.000 0.000 0.500
0.500 0.500 0.500


Record 9
CeSn2Pd, relaxed, DFT GGA-PBE; V = 23.45 Å³ per atom; DFT formation energy = -0.55 eV per atom; E_tot = -5.335 eV per atom; symmetry = No. 123
1.0
-3.976 -1.989 -0.846
2.085 -3.021 -2.693
0.619 -2.756 3.571
Ce Pd Sn
1 1 2
Direct
0.500 0.500 0.500
0.500 0.000 0.000
0.000 0.500 0.000
0.000 0.000 0.500


Record 10
CeSn2Pd7, relaxed, DFT GGA-PBE; V = 22.29 Å³ per atom; DFT formation energy = -0.27 eV per atom; E_tot = -5.301 eV per atom; symmetry = No. 65
1.0
4.508 0.000 0.000
0.000 7.607 -0.308
0.000 -3.707 6.650
Ce Pd Sn
1 7 2
Direct
0.000 0.000 0.000
0.500 0.289 0.073
0.500 0.711 0.927
0.000 0.200 0.800
0.500 0.073 0.289
0.500 0.500 0.500
0.500 0.927 0.711
0.000 0.800 0.200
0.500 0.302 0.698
0.500 0.698 0.302


Record 11
Sr2CeSn3Pd4, relaxed, DFT GGA-PBE; V = 24.92 Å³ per atom; DFT formation energy = -0.73 eV per atom; E_tot = -4.935 eV per atom; symmetry = No. 115
1.0
-1.701 -0.351 -4.390
-2.564 -3.748 1.293
-8.481 6.749 2.745
Sr Sn Pd Ce
2 3 4 1
Direct
0.500 0.000 0.224
0.000 0.500 0.776
0.000 0.000 0.500
0.000 0.500 0.118
0.500 0.000 0.882
0.500 0.000 0.644
0.000 0.000 0.000
0.000 0.500 0.356
0.500 0.500 0.000
0.500 0.500 0.500


Record 12
SrCeSnPd, relaxed, DFT GGA-PBE; V = 27.68 Å³ per atom; DFT formation energy = -0.52 eV per atom; E_tot = -4.720 eV per atom; symmetry = No. 216
1.0
-1.662 4.082 3.103
-0.769 -0.768 5.279
3.376 2.222 3.566
Pd Sr Sn Ce
1 1 1 1
Direct
0.000 0.000 0.000
0.250 0.250 0.250
0.500 0.500 0.500
0.750 0.750 0.750


Record 13
TbCeSnPd, relaxed, DFT GGA-PBE; V = 25.58 Å³ per atom; DFT formation energy = -0.61 eV per atom; E_tot = -5.551 eV per atom; symmetry = No. 216
1.0
5.250 0.000 0.000
2.625 4.547 0.000
2.625 1.516 4.287
Tb Ce Sn Pd
1 1 1 1
Direct
0.000 0.000 0.000
0.500 0.500 0.500
0.250 0.250 0.250
0.750 0.750 0.750


Record 14
CeTcSnPd, relaxed, DFT GGA-PBE; V = 19.63 Å³ per atom; DFT formation energy = -0.33 eV per atom; E_tot = -6.705 eV per atom; symmetry = No. 216
1.0
4.807 0.000 0.000
2.403 4.163 0.000
2.403 1.388 3.925
Ce Pd Sn Tc
1 1 1 1
Direct
0.750 0.750 0.750
0.500 0.500 0.500
0.250 0.250 0.250
0.000 0.000 0.000


Record 15
Ce2ThSn2Pd2, relaxed, DFT GGA-PBE; V = 24.08 Å³ per atom; DFT formation energy = -0.67 eV per atom; E_tot = -6.051 eV per atom; symmetry = No. 166
1.0
4.656 0.000 0.000
2.328 4.032 0.000
2.328 1.344 8.979
Ce Pd Sn Th
2 2 2 1
Direct
0.142 0.142 0.574
0.858 0.858 0.426
0.432 0.432 0.703
0.568 0.568 0.297
0.265 0.265 0.204
0.735 0.735 0.796
0.000 0.000 0.000


Record 16
Ce2ZnSnPd6, relaxed, DFT GGA-PBE; V = 19.57 Å³ per atom; DFT formation energy = -0.59 eV per atom; E_tot = -5.422 eV per atom; symmetry = No. 2
1.0
5.559 0.013 -0.033
-0.020 8.959 -0.015
2.790 4.324 3.905
Pd Ce Zn Sn
6 2 1 1
Direct
0.188 0.699 0.120
0.307 0.302 0.880
0.754 0.945 0.492
0.246 0.055 0.508
0.693 0.698 0.120
0.812 0.301 0.880
0.747 0.248 0.507
0.253 0.752 0.493
0.000 0.000 0.000
0.500 0.500 0.000


Record 17
CeZnSnPd, relaxed, DFT GGA-PBE; V = 20.68 Å³ per atom; DFT formation energy = -0.59 eV per atom; E_tot = -4.688 eV per atom; symmetry = No. 216
1.0
4.890 0.000 0.000
2.445 4.235 0.000
2.445 1.412 3.993
Sn Ce Zn Pd
1 1 1 1
Direct
0.250 0.250 0.250
0.750 0.750 0.750
0.000 0.000 0.000
0.500 0.500 0.500


Record 18
SrCePd, relaxed, DFT GGA-PBE; E above lowest polymorph = 0 meV per atom; V = 28.63 Å³ per atom; DFT formation energy = -0.34 eV per atom; E_tot = -4.613 eV per atom; symmetry = No. 38
1.0
7.519 0.000 0.000
-3.760 8.329 0.973
0.000 5.514 8.872
Sr Pd Ce
6 6 6
Direct
0.823 0.577 0.461
0.246 0.423 0.539
0.823 0.577 0.961
0.670 0.000 0.750
0.670 0.000 0.250
0.246 0.423 0.039
0.913 0.333 0.834
0.249 0.000 0.250
0.580 0.667 0.166
0.580 0.667 0.666
0.913 0.333 0.334
0.249 0.000 0.750
0.476 0.232 0.384
0.244 0.768 0.116
0.244 0.768 0.616
0.020 0.000 0.500
0.476 0.232 0.884
0.020 0.000 0.000


Record 19
SrCePd, relaxed, DFT GGA-PBE; E above lowest polymorph = 33 meV per atom; V = 30.60 Å³ per atom; DFT formation energy = -0.31 eV per atom; E_tot = -4.580 eV per atom; symmetry = No. 107
1.0
-1.482 3.361 0.410
-1.093 -0.898 3.415
7.114 1.037 0.549
Sr Pd Ce
1 1 1
Direct
0.026 0.026 0.053
0.683 0.683 0.367
0.290 0.290 0.581


Record 20
SrCeTlPd, relaxed, DFT GGA-PBE; V = 27.93 Å³ per atom; DFT formation energy = -0.33 eV per atom; E_tot = -4.122 eV per atom; symmetry = No. 216
1.0
5.406 0.000 0.000
2.703 4.682 0.000
2.703 1.561 4.414
Pd Ce Sr Tl
1 1 1 1
Direct
0.500 0.500 0.500
0.250 0.250 0.250
0.750 0.750 0.750
0.000 0.000 0.000


Record 21
Ce3TaPd12, relaxed, DFT GGA-PBE; V = 17.47 Å³ per atom; DFT formation energy = -0.70 eV per atom; E_tot = -6.445 eV per atom; symmetry = No. 123
1.0
-0.069 -0.471 -4.093
3.541 -2.100 0.182
-8.416 -14.037 1.756
Ce Ta Pd
3 1 12
Direct
0.000 0.000 0.500
0.000 0.000 0.754
0.000 0.000 0.246
0.000 0.000 0.000
0.500 0.000 0.113
0.500 0.000 0.887
0.500 0.000 0.628
0.000 0.500 0.113
0.000 0.500 0.628
0.000 0.500 0.887
0.500 0.000 0.372
0.000 0.500 0.372
0.500 0.500 0.759
0.500 0.500 0.241
0.500 0.500 0.000
0.500 0.500 0.500


Record 22
TbCePd, relaxed, DFT GGA-PBE; E above lowest polymorph = 157 meV per atom; V = 28.41 Å³ per atom; DFT formation energy = -0.30 eV per atom; E_tot = -5.548 eV per atom; symmetry = No. 216
1.0
4.939 0.000 0.000
2.470 4.278 0.000
2.470 1.426 4.033
Ce Pd Tb
1 1 1
Direct
0.500 0.500 0.500
0.250 0.250 0.250
0.000 0.000 0.000


Record 23
TbCePd5, relaxed, DFT GGA-PBE; V = 19.75 Å³ per atom; DFT formation energy = -0.68 eV per atom; E_tot = -5.903 eV per atom; symmetry = No. 123
1.0
4.054 0.000 0.000
0.000 4.054 0.000
0.000 0.000 8.412
Pd Tb Ce
5 1 1
Direct
0.000 0.500 0.240
0.500 0.000 0.760
0.000 0.500 0.760
0.500 0.500 0.500
0.500 0.000 0.240
0.000 0.000 0.500
0.500 0.500 0.000


Record 24
TbCePd, relaxed, DFT GGA-PBE; E above lowest polymorph = 27 meV per atom; V = 25.87 Å³ per atom; DFT formation energy = -0.43 eV per atom; E_tot = -5.677 eV per atom; symmetry = No. 107
1.0
3.561 0.000 0.000
0.000 3.561 0.000
-1.780 -1.780 6.120
Tb Pd Ce
1 1 1
Direct
0.027 0.027 0.055
0.663 0.663 0.326
0.310 0.310 0.619